An optimized crystal structure of RbNa5Au2, computed with GGA-PBE.

Calculated values
Total DFT energy (no corrections) (eV per atom): -1.96
DOS(E_F) (states/eV/atom): 0.282
Symmetry: Immm

a = 4.7594 Å, b = 9.3477 Å, c = 11.7745 Å
α = 90.00°, β = 90.00°, γ = 90.00°
Positions (direct):
Rb: 0.0000 0.0000 0.0000
Rb: 0.5000 0.5000 0.5000
Na: 0.0000 0.1836 0.3333
Na: 0.0000 0.1836 0.6667
Na: 0.0000 0.5000 0.0000
Na: 0.0000 0.8164 0.3333
Na: 0.0000 0.8164 0.6667
Na: 0.5000 0.0000 0.5000
Na: 0.5000 0.3164 0.1667
Na: 0.5000 0.3164 0.8333
Na: 0.5000 0.6836 0.1667
Na: 0.5000 0.6836 0.8333
Au: 0.0000 0.5000 0.2554
Au: 0.0000 0.5000 0.7446
Au: 0.5000 0.0000 0.2446
Au: 0.5000 0.0000 0.7554